(1)
Cs2In2Ge3: relaxed, PBE.

Properties
DFT formation energy = 0.0038 eV/atom

Cell and atoms, written as CIF:
```
data_Cs2In2Ge3
_cell_length_a 12.7255
_cell_length_b 4.9067
_cell_length_c 8.9468
_cell_angle_alpha 90.00
_cell_angle_beta 124.60
_cell_angle_gamma 90.00
_symmetry_space_group_name_H-M 'C 1 2/m 1'
_symmetry_Int_Tables_number 12
loop_
_symmetry_equiv_pos_as_xyz
'x,y,z'
'-x,-y,-z'
'-x,y,-z'
'x,-y,z'
'x+1/2,y+1/2,z'
'-x+1/2,-y+1/2,-z'
'-x+1/2,y+1/2,-z'
'x+1/2,-y+1/2,z'
loop_
_atom_site_label
_atom_site_type_symbol
_atom_site_fract_x
_atom_site_fract_y
_atom_site_fract_z
Cs1 Cs 0.1704 0.0000 0.0756
In1 In 0.1489 0.0000 0.5119
Ge1 Ge 0.0000 0.5000 0.5000
Ge2 Ge 0.0702 0.5000 0.2846
```


(2)
ErAl3V: relaxed, PBE.

Properties
DFT formation energy = -0.1636 eV/atom

Cell and atoms, written as CIF:
```
data_ErAl3V
_cell_length_a 6.3371
_cell_length_b 6.3371
_cell_length_c 5.4905
_cell_angle_alpha 90.00
_cell_angle_beta 90.00
_cell_angle_gamma 120.00
_symmetry_space_group_name_H-M 'P 63/m m c'
_symmetry_Int_Tables_number 194
_symmetry_space_group_name_Hall '-P 6c 2c'
loop_
_atom_site_label
_atom_site_type_symbol
_atom_site_fract_x
_atom_site_fract_y
_atom_site_fract_z
Er1 Er 0.3333 0.6667 0.2500
Al1 Al 0.1924 0.3848 0.7500
V1 V 0.0000 0.0000 0.0000
```


(3)
LiCa2DyS4: relaxed, PBE.

Properties
E_form (uncorrected) = -1.973 eV per atom

Cell and atoms, written as CIF:
```
data_LiCa2DyS4
_cell_length_a 6.8036
_cell_length_b 3.9841
_cell_length_c 6.8346
_cell_angle_alpha 90.00
_cell_angle_beta 108.74
_cell_angle_gamma 90.00
_symmetry_space_group_name_H-M 'P 1 2/m 1'
_symmetry_Int_Tables_number 10
loop_
_symmetry_equiv_pos_as_xyz
'x,y,z'
'-x,-y,-z'
'-x,y,-z'
'x,-y,z'
loop_
_atom_site_label
_atom_site_type_symbol
_atom_site_fract_x
_atom_site_fract_y
_atom_site_fract_z
Li1 Li 0.0000 0.0000 0.0000
Ca1 Ca 0.0000 0.5000 0.5000
Ca2 Ca 0.5000 0.0000 0.5000
Dy1 Dy 0.5000 0.5000 0.0000
S1 S 0.2524 0.5000 0.2433
S2 S 0.2534 0.0000 0.7623
```


(4)
NpSb2P2Pd7: relaxed, PBE.

Properties
E_form (uncorrected) = -0.358 eV per atom

Cell and atoms, written as CIF:
```
data_NpSb2P2Pd7
_cell_length_a 5.7776
_cell_length_b 6.9475
_cell_length_c 11.4190
_cell_angle_alpha 90.00
_cell_angle_beta 92.35
_cell_angle_gamma 90.00
_symmetry_space_group_name_H-M 'C 1 2/m 1'
_symmetry_Int_Tables_number 12
loop_
_symmetry_equiv_pos_as_xyz
'x,y,z'
'-x,-y,-z'
'-x,y,-z'
'x,-y,z'
'x+1/2,y+1/2,z'
'-x+1/2,-y+1/2,-z'
'-x+1/2,y+1/2,-z'
'x+1/2,-y+1/2,z'
loop_
_atom_site_label
_atom_site_type_symbol
_atom_site_fract_x
_atom_site_fract_y
_atom_site_fract_z
Np1 Np 0.0000 0.0000 0.0000
Sb1 Sb 0.1498 0.0000 0.3852
P1 P 0.1985 0.5000 0.1852
Pd1 Pd 0.0000 0.5000 0.0000
Pd2 Pd 0.1256 0.2979 0.7796
Pd3 Pd 0.1575 0.5000 0.3987
```